VASP calculation (PBE) on an optimized crystal structure of Fe2RuBr.

Results
N(E_F)	4.7	states/eV/cell
SG	R-3m, No. 166
energy relative to the lowest polymorph listed for this composition	135.6	meV per atom

a = 7.956 Å, b = 7.956 Å, c = 7.956 Å
α = 22.26°, β = 22.26°, γ = 22.26°
Element x y z (fractional)
1 Fe 0.244 0.244 0.244
2 Fe 0.756 0.756 0.756
3 Ru 0.500 0.500 0.500
4 Br 0.000 0.000 0.000